The following is a DFT calculation (PBE+U) of Ba3UMn2O9 after structural relaxation.

Lattice parameters (Å, degrees): 5.8826 5.8826 7.2944 90.00 90.00 120.00
Last column: nearest neighbours and their distance in Å.
Fractional positions:
U  0.0000  0.0000  0.5000  6 O 2.09
Mn  0.6667  0.3333  0.8472  6 O 2.03-2.15
Mn  0.3333  0.6667  0.1529  6 O 2.03-2.15
Ba  0.0000  0.0000  0.0000  12 O 2.94-2.96
Ba  0.6667  0.3333  0.3099  12 O 2.83-3.11
Ba  0.3333  0.6667  0.6901  12 O 2.83-3.11
O  0.1664  0.3328  0.3324  1 U 2.09, 1 Mn 2.15
O  0.6672  0.8336  0.3324  1 U 2.09, 1 Mn 2.15
O  0.8336  0.1664  0.6676  1 U 2.09, 1 Mn 2.15
O  0.1664  0.8336  0.3324  1 U 2.09, 1 Mn 2.15
O  0.0000  0.5000  0.0000  2 Mn 2.03
O  0.3328  0.1664  0.6676  1 U 2.09, 1 Mn 2.15
O  0.5000  0.0000  0.0000  2 Mn 2.03
O  0.8336  0.6672  0.6676  1 U 2.09, 1 Mn 2.15
O  0.5000  0.5000  0.0000  2 Mn 2.03

DFT total energy in eV/atom: -7.686